PBE Er4As3O, optimized geometry; volume = 364 Å³/cell; mass density = 8.30 g/cm3; uncorrected formation energy = -170 kJ/mol of atoms; E_tot = -6.41 eV/atom
1.0
5.714 0.000 0.000
0.000 5.711 0.000
0.000 0.000 11.156
Er As O
8 6 2
direct
0.634 0.252 0.000
0.134 0.748 0.500
0.063 0.248 0.753
0.563 0.752 0.253
0.062 0.821 0.000
0.063 0.248 0.247
0.563 0.752 0.747
0.562 0.179 0.500
0.063 0.747 0.250
0.063 0.248 0.500
0.563 0.253 0.250
0.063 0.747 0.750
0.563 0.253 0.750
0.563 0.752 0.000
0.505 0.808 0.500
0.005 0.192 0.000